! GGA-PBE Dy4GaPd2, relaxed; values from VASP
! Distance to the lowest polymorph of the same formula ... 1.262 kcal/mol of atoms
! Calculated density ... 8.606 Mg/m³
! Size of the total moment ... 0.00 μB per atom
! Formation energy ... -0.569 eV per atom
&SYSTEM
  ibrav = 0, nat = 7, ntyp = 3
/
ATOMIC_SPECIES
Dy 162.50 Dy.upf
Ga 69.72 Ga.upf
Pd 106.42 Pd.upf
ATOMIC_POSITIONS crystal
Dy 0.121 0.121 0.121
Dy 0.295 0.295 0.295
Dy 0.705 0.705 0.705
Dy 0.879 0.879 0.879
Ga 0.500 0.500 0.500
Pd 0.403 0.403 0.403
Pd 0.597 0.597 0.597
CELL_PARAMETERS angstrom
2.382 1.375 9.154
-2.382 1.375 9.154
0.000 -2.751 9.154



! GGA-PBE Dy2GaPd8, relaxed; values from VASP
! Calculated density ... 10.692 Mg/m³
! Size of the total moment ... 0.00 μB per atom
! Formation energy ... -0.678 eV per atom
&SYSTEM
  ibrav = 0, nat = 11, ntyp = 3
/
ATOMIC_SPECIES
Dy 162.50 Dy.upf
Ga 69.72 Ga.upf
Pd 106.42 Pd.upf
ATOMIC_POSITIONS crystal
Dy 0.189 0.189 0.000
Dy 0.811 0.811 0.000
Ga 0.500 0.500 0.000
Pd 0.106 0.366 0.739
Pd 0.251 0.000 0.251
Pd 0.320 0.820 0.500
Pd 0.373 0.634 0.739
Pd 0.627 0.366 0.261
Pd 0.680 0.180 0.500
Pd 0.749 0.000 0.749
Pd 0.894 0.634 0.261
CELL_PARAMETERS angstrom
-2.305 2.983 7.036
2.305 -2.983 7.036
2.305 2.983 -7.036



! GGA-PBE Dy2GaPd4, relaxed; values from VASP
! Distance to the lowest polymorph of the same formula ... 0.000 kcal/mol of atoms
! Calculated density ... 9.004 Mg/m³
! Size of the total moment ... 0.00 μB per atom
! Formation energy ... -0.703 eV per atom
&SYSTEM
  ibrav = 0, nat = 7, ntyp = 3
/
ATOMIC_SPECIES
Dy 162.50 Dy.upf
Ga 69.72 Ga.upf
Pd 106.42 Pd.upf
ATOMIC_POSITIONS crystal
Dy 0.001 0.144 0.222
Dy 0.999 0.856 0.778
Ga 0.500 0.500 0.500
Pd 0.000 0.500 0.500
Pd 0.333 0.194 0.845
Pd 0.500 0.000 0.500
Pd 0.667 0.806 0.155
CELL_PARAMETERS angstrom
4.890 0.000 0.000
1.807 4.613 0.000
0.935 2.149 6.707